Below is a geometry-optimized NdTi2N4 structure, with properties calculated at the GGA-PBE level.

Calculated values
Its uncorrected formation energy is -1.185 eV/atom. The space-group type is No. 63.

abc: 3.130 5.302 10.285
angles: 90.00 90.00 107.17
Element x y z (fractional)
N (0.500, 0.000, 0.500)
N (0.239, 0.478, 0.607)
N (0.500, 0.000, 0.000)
N (0.761, 0.522, 0.393)
N (0.239, 0.478, 0.893)
N (0.924, 0.849, 0.750)
N (0.761, 0.522, 0.107)
N (0.076, 0.151, 0.250)
Ti (0.133, 0.267, 0.435)
Ti (0.867, 0.733, 0.565)
Ti (0.133, 0.267, 0.065)
Ti (0.867, 0.733, 0.935)
Nd (0.390, 0.780, 0.250)
Nd (0.610, 0.220, 0.750)


Below is a geometry-optimized TbEr3Sc6 structure, with properties calculated at the GGA-PBE level.

Calculated values
As for the energy above the lowest structure with this stoichiometry: 246 meV/atom. The space-group type is No. 146. The formation energy comes out at 0.401 eV per atom.

abc: 9.216 9.216 6.519
angles: 45.02 45.02 60.00
Element x y z (fractional)
Er (0.398, 0.398, 0.805)
Er (0.647, 0.647, 0.060)
Er (0.148, 0.148, 0.557)
Sc (0.566, 0.235, 0.296)
Sc (0.734, 0.068, 0.795)
Sc (0.402, 0.734, 0.795)
Sc (0.068, 0.402, 0.795)
Sc (0.235, 0.903, 0.296)
Sc (0.903, 0.566, 0.296)
Tb (0.898, 0.898, 0.305)


Taking the records one at a time from the top gives size of the total moment values of 0.000, 0.000 Bohr magnetons per cell.
Taking the records one at a time from the top gives E values of -8.8794, -5.2300 eV per atom.